Computed, not measured: a relaxed NdDyCl2 crystal at the PBE level of DFT.

It has space group R-3m (No. 166, hexagonal axes), with a = 3.6449 Å, b = 3.6449 Å, c = 28.6405 Å, α = 90.00°, β = 90.00° and γ = 120.00°. The distinct sites, in fractional coordinates, are Nd at (0.0000, 0.0000, 0.0000), Dy at (0.0000, 0.0000, 0.5000) and Cl at (0.0000, 0.0000, 0.4057).

As for the total energy: -18.4 eV/f.u. The calculation puts the total magnetic moment at 0.000 μB/atom. Its raw formation energy is -1.336 eV per atom. The density of states at the Fermi level comes out at 1.42 states/eV/f.u.



Computed, not measured: a relaxed NdDyPCl crystal at the PBE level of DFT.

It has space group R3m (No. 160, hexagonal axes), with a = 3.9977 Å, b = 3.9977 Å, c = 21.3116 Å, α = 90.00°, β = 90.00° and γ = 120.00°. The distinct sites, in fractional coordinates, are Nd at (0.0000, 0.0000, 0.0000), Dy at (0.0000, 0.0000, 0.8076), P at (0.0000, 0.0000, 0.4098) and Cl at (0.0000, 0.0000, 0.2325).

As for the total energy: -22.9 eV/f.u. The calculation puts the total magnetic moment at 0.000 μB/atom. Its raw formation energy is -1.563 eV per atom. The density of states at the Fermi level comes out at 0.93 states/eV/f.u.



Computed, not measured: a relaxed NdDyRhCl crystal at the PBE level of DFT.

It has space group R3m (No. 160, hexagonal axes), with a = 3.9935 Å, b = 3.9935 Å, c = 22.9096 Å, α = 90.00°, β = 90.00° and γ = 120.00°. The distinct sites, in fractional coordinates, are Nd at (0.0000, 0.0000, 0.0000), Dy at (0.0000, 0.0000, 0.8007), Rh at (0.0000, 0.0000, 0.4034) and Cl at (0.0000, 0.0000, 0.2293).

As for the total energy: -23.2 eV/f.u. The calculation puts the total magnetic moment at 0.000 μB/atom. Its raw formation energy is -1.158 eV per atom. The density of states at the Fermi level comes out at 0.46 states/eV/f.u.



Computed, not measured: a relaxed NdDySCl crystal at the PBE level of DFT.

It has space group Cm (No. 8), with a = 6.682 Å, b = 3.862 Å, c = 7.734 Å, α = 90.00°, β = 106.65° and γ = 90.00°. The distinct sites, in fractional coordinates, are Nd at (0.000, 0.000, 0.000), Dy at (0.306, 0.500, 0.418), S at (0.407, 0.000, 0.221) and Cl at (0.226, 0.000, 0.681).

As for the total energy: -21.8 eV/f.u. The calculation puts the total magnetic moment at 0.000 μB/atom. Its raw formation energy is -1.610 eV per atom. The density of states at the Fermi level comes out at 2.76 states/eV/f.u.